No. 1
Ca3SiN: optimized geometry, GGA-PBE.

Cell and atoms, written as CIF:
```
data_Ca3SiN
_chemical_formula_sum 'Ca3 Si1 N1'
_cell_length_a 4.8056
_cell_length_b 4.8056
_cell_length_c 4.8056
_cell_angle_alpha 90.00
_cell_angle_beta 90.00
_cell_angle_gamma 90.00
_symmetry_space_group_name_H-M 'P m -3 m'
_symmetry_Int_Tables_number 221
_symmetry_space_group_name_Hall '-P 4 2 3'
loop_
_atom_site_label
_atom_site_fract_x
_atom_site_fract_y
_atom_site_fract_z
Ca1 0.0000 0.0000 0.5000
Si1 0.5000 0.5000 0.5000
N1 0.0000 0.0000 0.0000
```

Results
total magnetization: 0.0 μB/f.u.
formation energy from raw total energies: -61.03 kJ/mol of atoms
calculated total energy: -22.9 eV for the cell shown
excess energy over the best structure of this formula in the dataset: 0 kJ/mol of formula units

***

No. 2
Ca3SiN3: optimized geometry, GGA-PBE.

Cell and atoms, written as CIF:
```
data_Ca3SiN3
_chemical_formula_sum 'Ca12 Si4 N12'
_cell_length_a 15.8965
_cell_length_b 3.2581
_cell_length_c 10.4563
_cell_angle_alpha 90.00
_cell_angle_beta 90.00
_cell_angle_gamma 90.00
_symmetry_space_group_name_H-M 'P n m a'
_symmetry_Int_Tables_number 62
loop_
_symmetry_equiv_pos_as_xyz
'x,y,z'
'-x,-y,-z'
'-x+1/2,-y,z+1/2'
'x+1/2,y,-z+1/2'
'x+1/2,-y+1/2,-z+1/2'
'-x+1/2,y+1/2,z+1/2'
'-x,y+1/2,-z'
'x,-y+1/2,z'
loop_
_atom_site_label
_atom_site_fract_x
_atom_site_fract_y
_atom_site_fract_z
Ca1 0.0630 0.2500 0.0979
Ca2 0.1125 0.7500 0.4869
Ca3 0.1586 0.7500 0.8003
Si1 0.0267 0.2500 0.7062
N1 0.0273 0.2500 0.3387
N2 0.0384 0.2500 0.8730
N3 0.1269 0.2500 0.6430
```

Results
total magnetization: 0.0 μB/f.u.
formation energy from raw total energies: -85.28 kJ/mol of atoms
calculated total energy: -170.4 eV for the cell shown